# 1
VASP calculation (GGA-PBE) on crystalline RbSnBr6 at its relaxed geometry.

Unit cell a=8.7336 b=10.0664 c=7.0398 alpha=90.00 beta=106.44 gamma=90.00
Closest atoms and distances in Å follow each position.
Space group C2/m (No. 12)
Symmetry-distinct sites (fractional):
Rb (0.0000, 0.0000, 0.0000)  12 Br 3.72-4.10
Sn (0.0000, 0.5000, 0.5000)  6 Br 2.64-2.65
Br (0.1229, 0.3179, 0.7703)  1 Sn 2.64
Br (0.2271, 0.0000, 0.5955)  1 Sn 2.65



# 2
VASP calculation (GGA-PBE) on crystalline Rb2SnBr at its relaxed geometry.

Unit cell a=9.6910 b=9.6910 c=7.9287 alpha=90.00 beta=90.00 gamma=90.00
Closest atoms and distances in Å follow each position.
Space group I-42d (No. 122)
Symmetry-distinct sites (fractional):
Rb (0.2076, 0.2500, 0.1250)  2 Br 3.30
Sn (0.0000, 0.0000, 0.5000)  4 Rb 3.86, 2 Br 3.96
Br (0.0000, 0.0000, 0.0000)  4 Rb 3.30

Computed properties:
E above lowest polymorph	0.036	eV/atom



# 3
VASP calculation (GGA-PBE) on crystalline Rb3SnBr at its relaxed geometry.

Unit cell a=6.5208 b=6.5208 c=6.5208 alpha=90.00 beta=90.00 gamma=90.00
Closest atoms and distances in Å follow each position.
Space group Pm-3m (No. 221)
Symmetry-distinct sites (fractional):
Rb (0.0000, 0.0000, 0.5000)  2 Br 3.26
Sn (0.5000, 0.5000, 0.5000)  12 Rb 4.61
Br (0.0000, 0.0000, 0.0000)  6 Rb 3.26

Computed properties:
E above lowest polymorph	0.000	eV/atom



# 4
VASP calculation (GGA-PBE) on crystalline RbSnBr5 at its relaxed geometry.

Unit cell a=14.3733 b=12.8983 c=9.5607 alpha=90.00 beta=131.43 gamma=90.00
Closest atoms and distances in Å follow each position.
Space group C2/c (No. 15)
Symmetry-distinct sites (fractional):
Rb (0.2500, 0.2500, 0.0000)  2 Br 3.33
Sn (0.0000, 0.1498, 0.2500)  4 Br 2.52-2.54
Br (0.9998, 0.2607, 0.0308)  1 Sn 2.54
Br (0.0000, 0.4019, 0.7500)  2 Br 3.25, 2 Rb 3.33
Br (0.1930, 0.0392, 0.4419)  1 Sn 2.52

Computed properties:
E above lowest polymorph	0.013	eV/atom



# 5
VASP calculation (GGA-PBE) on crystalline RbSnBr3 at its relaxed geometry.

Unit cell a=5.2468 b=5.2468 c=18.4306 alpha=90.00 beta=90.00 gamma=120.00
Closest atoms and distances in Å follow each position.
Space group P6_3/mmc (No. 194)
Symmetry-distinct sites (fractional):
Rb (0.0000, 0.0000, 0.0000)  6 Br 3.49
Sn (0.3333, 0.6667, 0.2500)  5 Br 2.88-3.03
Br (0.0000, 0.0000, 0.2500)  3 Sn 3.03
Br (0.3333, 0.6667, 0.0939)  1 Sn 2.88



# 6
VASP calculation (GGA-PBE) on crystalline RbSnBr3 at its relaxed geometry.

Unit cell a=4.6382 b=7.8779 c=10.3918 alpha=90.00 beta=90.00 gamma=90.00
Closest atoms and distances in Å follow each position.
Space group P2_1/m (No. 11)
Symmetry-distinct sites (fractional):
Rb (0.2416, 0.2500, 0.1493)  6 Br 3.43-3.62
Sn (0.3044, 0.7500, 0.3613)  3 Br 2.78-2.86
Br (0.2588, 0.7500, 0.0945)  1 Sn 2.78
Br (0.2637, 0.5070, 0.6604)  1 Sn 2.86



# 7
VASP calculation (GGA-PBE) on crystalline RbSn2Br4 at its relaxed geometry.

Unit cell a=16.8137 b=5.0048 c=7.3693 alpha=90.00 beta=112.44 gamma=90.00
Closest atoms and distances in Å follow each position.
Space group C2/m (No. 12)
Symmetry-distinct sites (fractional):
Rb (0.0000, 0.0000, 0.0000)  6 Br 3.51-3.64
Sn (0.2308, 0.5000, 0.7251)  4 Br 2.91-3.22
Br (0.1442, 0.0000, 0.5144)  3 Sn 3.01-3.22
Br (0.1475, 0.5000, 0.0057)  1 Sn 2.91



# 8
VASP calculation (GGA-PBE) on crystalline Rb2SrSnBr6 at its relaxed geometry.

Unit cell a=11.9064 b=11.9064 c=11.9064 alpha=90.00 beta=90.00 gamma=90.00
Closest atoms and distances in Å follow each position.
Space group Fm-3m (No. 225)
Symmetry-distinct sites (fractional):
Rb (0.2500, 0.2500, 0.2500)  12 Br 4.21
Sr (0.0000, 0.0000, 0.0000)  6 Br 3.00
Sn (0.0000, 0.0000, 0.5000)  6 Br 2.95
Br (0.0000, 0.0000, 0.2520)  1 Sn 2.95, 1 Sr 3.00

Computed properties:
E above lowest polymorph	0.049	eV/atom



# 9
VASP calculation (GGA-PBE) on crystalline Rb2SrSnBr6 at its relaxed geometry.

Unit cell a=8.0349 b=8.4438 c=14.0458 alpha=90.00 beta=124.47 gamma=90.00
Closest atoms and distances in Å follow each position.
Space group P2_1/c (No. 14)
Symmetry-distinct sites (fractional):
Rb (0.2236, 0.0729, 0.2489)  6 Br 3.48-3.72
Sr (0.5000, 0.0000, 0.0000)  6 Br 3.06-3.07
Sn (0.0000, 0.0000, 0.5000)  6 Br 3.00-3.02
Br (0.1393, 0.2026, 0.9458)  1 Sn 3.02, 1 Sr 3.07
Br (0.2474, 0.6985, 0.9460)  1 Sn 3.01, 1 Sr 3.07
Br (0.3529, 0.0311, 0.7470)  1 Sn 3.00, 1 Sr 3.06

Computed properties:
E above lowest polymorph	0.000	eV/atom



# 10
VASP calculation (GGA-PBE) on crystalline RbSr2SnBr8 at its relaxed geometry.

Unit cell a=6.9391 b=9.5365 c=7.1539 alpha=90.00 beta=90.23 gamma=90.00
Closest atoms and distances in Å follow each position.
Space group P2/m (No. 10)
Symmetry-distinct sites (fractional):
Rb (0.0000, 0.0000, 0.0000)  6 Br 3.28-3.40
Sr (0.5000, 0.2513, 0.5000)  6 Br 3.02-3.19
Sn (0.0000, 0.5000, 0.0000)  6 Br 2.80-2.92
Br (0.2378, 0.2911, 0.1507)  1 Sn 2.80, 1 Sr 3.11
Br (0.2472, 0.5000, 0.6700)  1 Sn 2.92, 2 Sr 3.19
Br (0.2660, 0.0000, 0.6212)  2 Sr 3.02, 1 Rb 3.28



# 11
VASP calculation (GGA-PBE) on crystalline RbTbSn2Br8 at its relaxed geometry.

Unit cell a=6.8338 b=7.3372 c=9.4574 alpha=85.81 beta=88.03 gamma=87.46
Closest atoms and distances in Å follow each position.
Space group P-1 (No. 2)
Symmetry-distinct sites (fractional):
Rb (0.0000, 0.0000, 0.0000)  6 Br 3.37-3.44
Tb (0.0000, 0.0000, 0.5000)  6 Br 2.81-2.87
Sn (0.4857, 0.4804, 0.2505)  3 Br 2.73-2.99
Br (0.2297, 0.3188, 0.4699)  1 Tb 2.87, 1 Sn 2.89
Br (0.2345, 0.8329, 0.2920)  1 Tb 2.81, 1 Sn 3.08
Br (0.2574, 0.8592, 0.7142)  1 Tb 2.84, 1 Sn 2.99
Br (0.2707, 0.3771, 0.0346)  1 Sn 2.73



# 12
VASP calculation (GGA-PBE) on crystalline Rb2TcSnBr6 at its relaxed geometry.

Unit cell a=8.0375 b=8.0375 c=11.3985 alpha=90.00 beta=90.00 gamma=90.00
Closest atoms and distances in Å follow each position.
Space group I4/mmm (No. 139)
Symmetry-distinct sites (fractional):
Rb (0.0000, 0.5000, 0.2500)  12 Br 4.02-4.03
Tc (0.0000, 0.0000, 0.0000)  6 Br 2.73-2.75
Sn (0.0000, 0.0000, 0.5000)  6 Br 2.95
Br (0.0000, 0.0000, 0.2410)  1 Tc 2.75, 1 Sn 2.95
Br (0.2406, 0.2406, 0.0000)  1 Tc 2.73, 1 Sn 2.95



# 13
VASP calculation (GGA-PBE) on crystalline RbSnTeBr at its relaxed geometry.

Unit cell a=4.5994 b=4.5994 c=25.4658 alpha=90.00 beta=90.00 gamma=120.00
Closest atoms and distances in Å follow each position.
Space group R3m (No. 160, hexagonal axes)
Symmetry-distinct sites (fractional):
Rb (0.0000, 0.0000, 0.0000)  3 Br 3.39, 3 Te 3.76
Sn (0.0000, 0.0000, 0.1668)  3 Te 3.09, 3 Br 3.41
Te (0.0000, 0.0000, 0.5624)  3 Sn 3.09
Br (0.0000, 0.0000, 0.7494)  3 Rb 3.39, 3 Sn 3.41



# 14
VASP calculation (GGA-PBE) on crystalline Rb2SnTeBr6 at its relaxed geometry.

Unit cell a=7.9797 b=7.9797 c=13.4125 alpha=90.00 beta=90.00 gamma=90.00
Closest atoms and distances in Å follow each position.
Space group I4/mmm (No. 139)
Symmetry-distinct sites (fractional):
Rb (0.0000, 0.5000, 0.2500)  12 Br 4.02-4.38
Sn (0.0000, 0.0000, 0.0000)  6 Br 2.87-2.88
Te (0.0000, 0.0000, 0.5000)  4 Br 2.77
Br (0.0000, 0.0000, 0.2146)  1 Sn 2.88
Br (0.2454, 0.2454, 0.5000)  1 Te 2.77, 1 Sn 2.87



# 15
VASP calculation (GGA-PBE) on crystalline RbTlSnBr6 at its relaxed geometry.

Unit cell a=8.2107 b=8.2107 c=12.4522 alpha=90.00 beta=90.00 gamma=120.00
Closest atoms and distances in Å follow each position.
Space group P-31c (No. 163)
Symmetry-distinct sites (fractional):
Rb (0.3333, 0.6667, 0.2500)  6 Br 3.47
Tl (0.0000, 0.0000, 0.0000)  6 Br 3.40
Sn (0.3333, 0.6667, 0.7500)  6 Br 2.67
Br (0.0733, 0.3999, 0.6250)  1 Sn 2.67



# 16
VASP calculation (GGA-PBE) on crystalline RbTlSn2Br8 at its relaxed geometry.

Unit cell a=6.8740 b=7.7017 c=8.8947 alpha=95.77 beta=99.35 gamma=98.64
Closest atoms and distances in Å follow each position.
Space group P-1 (No. 2)
Symmetry-distinct sites (fractional):
Rb (0.0000, 0.0000, 0.0000)  4 Br 3.43-3.53
Tl (0.0000, 0.0000, 0.5000)  6 Br 2.74-2.99
Sn (0.4737, 0.5982, 0.2445)  3 Br 2.72-2.89
Br (0.1376, 0.7103, 0.3599)  1 Tl 2.81, 1 Sn 2.89
Br (0.2333, 0.2334, 0.3618)  1 Tl 2.74
Br (0.2650, 0.5939, 0.9571)  1 Sn 2.72
Br (0.3445, 0.0568, 0.7623)  1 Sn 2.77, 1 Tl 2.99



# 17
VASP calculation (GGA-PBE) on crystalline RbTl2SnBr8 at its relaxed geometry.

Unit cell a=6.9720 b=7.2544 c=9.6073 alpha=89.84 beta=89.24 gamma=89.45
Closest atoms and distances in Å follow each position.
Space group P-1 (No. 2)
Symmetry-distinct sites (fractional):
Rb (0.0000, 0.0000, 0.0000)  6 Br 3.35-3.47
Tl (0.4964, 0.4989, 0.2478)  4 Br 2.99-3.24
Sn (0.0000, 0.0000, 0.5000)  6 Br 2.67
Br (0.2195, 0.2991, 0.5019)  1 Sn 2.67
Br (0.2212, 0.8499, 0.6953)  1 Sn 2.67
Br (0.2268, 0.8567, 0.3010)  1 Sn 2.67
Br (0.2746, 0.3756, 0.0007)  2 Tl 2.99-3.00, 1 Rb 3.35



# 18
VASP calculation (GGA-PBE) on crystalline RbTlSn2Br6 at its relaxed geometry.

Unit cell a=16.0506 b=10.4475 c=12.4241 alpha=90.00 beta=127.99 gamma=90.00
Closest atoms and distances in Å follow each position.
Space group C2/c (No. 15)
Symmetry-distinct sites (fractional):
Rb (0.0000, 0.1769, 0.2500)  6 Br 3.52-3.60
Tl (0.0000, 0.3104, 0.7500)  6 Br 3.35-3.53
Sn (0.1930, 0.4664, 0.6651)  3 Br 2.70-2.74
Br (0.0878, 0.3082, 0.0742)  1 Sn 2.71
Br (0.1154, 0.0784, 0.6954)  1 Sn 2.70
Br (0.1810, 0.4376, 0.4364)  1 Sn 2.74



# 19
VASP calculation (GGA-PBE) on crystalline Rb2Tl2SnBr6 at its relaxed geometry.

Unit cell a=8.6333 b=13.9627 c=8.0401 alpha=90.00 beta=110.19 gamma=90.00
Closest atoms and distances in Å follow each position.
Space group C2/m (No. 12)
Symmetry-distinct sites (fractional):
Rb (0.0000, 0.1590, 0.0000)  6 Br 3.41-3.51
Tl (0.0000, 0.3222, 0.5000)  6 Br 3.32-3.52
Sn (0.0000, 0.5000, 0.0000)  6 Br 3.02-3.05
Br (0.2018, 0.5000, 0.7588)  1 Sn 3.02, 2 Tl 3.32
Br (0.2232, 0.3468, 0.2325)  1 Sn 3.05, 1 Tl 3.36, 1 Rb 3.41



# 20
VASP calculation (GGA-PBE) on crystalline Rb3Tl3SnBr8 at its relaxed geometry.

Unit cell a=9.7695 b=9.7695 c=23.2451 alpha=90.00 beta=90.00 gamma=120.00
Closest atoms and distances in Å follow each position.
Space group R-3m (No. 166, hexagonal axes)
Symmetry-distinct sites (fractional):
Rb (0.0000, 0.5000, 0.0000)  6 Br 3.46-3.48
Tl (0.0000, 0.5000, 0.5000)  6 Br 3.39-3.41
Sn (0.0000, 0.0000, 0.0000)  6 Br 3.04
Br (0.0000, 0.0000, 0.2475)  3 Tl 3.39, 3 Rb 3.46
Br (0.0397, 0.5199, 0.7422)  1 Sn 3.04, 2 Tl 3.41



# 21
VASP calculation (GGA-PBE) on crystalline RbTl2Sn2Br7 at its relaxed geometry.

Unit cell a=5.8147 b=25.6805 c=6.6383 alpha=90.00 beta=90.00 gamma=90.00
Closest atoms and distances in Å follow each position.
Space group Imm2 (No. 44)
Symmetry-distinct sites (fractional):
Rb (0.0000, 0.0000, 0.0000)  8 Br 3.60-3.85
Tl (0.0000, 0.2879, 0.5016)  5 Br 3.23-3.47
Sn (0.0000, 0.3900, 0.0728)  4 Br 2.72-2.95
Br (0.0000, 0.1127, 0.6473)  2 Sn 2.95
Br (0.0000, 0.2714, 0.9834)  1 Sn 3.10, 4 Tl 3.23-3.47
Br (0.0000, 0.4125, 0.6726)  1 Sn 2.72
Br (0.0000, 0.5000, 0.1791)  2 Sn 2.91



Looking at uncorrected formation energy for the records above, in order, we have -0.745; -0.465; -0.539; -0.922; -1.118; -1.165; -0.814; -1.534; -1.583; -1.514; -1.279; -0.872; -0.890; -0.936; -0.936; -0.810; -0.791; -0.976; -1.158; -1.206; -0.952 eV per atom.